Record 1
A geometry-optimized Nd7Ho4In structure. Source: the Alexandria database, functional PBE.

Electronic total energy = -4.55 eV per atom
Relative energy among the computed polymorphs = 0 meV per atom
DFT formation energy = -12.3 meV per atom

```
data_Nd7Ho4In
_chemical_formula_sum 'Nd7 Ho4 In1'
_cell_length_a 6.556
_cell_length_b 6.801
_cell_length_c 9.197
_cell_angle_alpha 86.94
_cell_angle_beta 76.47
_cell_angle_gamma 82.83
_space_group_name_H-M_alt 'P -1'
_space_group_IT_number 2
_space_group_name_Hall '-P 1'
loop_
_atom_site_label
_atom_site_fract_x
_atom_site_fract_y
_atom_site_fract_z
Nd1 0.000 0.000 0.000
Nd2 0.153 0.596 0.320
Nd3 0.202 0.092 0.391
Nd4 0.470 0.256 0.050
Ho1 0.310 0.695 0.646
Ho2 0.357 0.196 0.721
In1 0.000 0.500 0.000
```

***

Record 2
A geometry-optimized PPtSeBr2 structure. Source: the Alexandria database, functional PBE.

Electronic total energy = -2.79 eV per atom
Relative energy among the computed polymorphs = 169 meV per atom
E_form (uncorrected) = 0.86 eV per atom

```
data_PPtSeBr2
_chemical_formula_sum 'P1 Pt1 Se1 Br2'
_cell_length_a 4.806
_cell_length_b 4.806
_cell_length_c 5.222
_cell_angle_alpha 90.00
_cell_angle_beta 90.00
_cell_angle_gamma 90.00
_space_group_name_H-M_alt 'P 4/m m m'
_space_group_IT_number 123
_space_group_name_Hall '-P 4 2'
loop_
_atom_site_label
_atom_site_fract_x
_atom_site_fract_y
_atom_site_fract_z
P1 0.000 0.000 0.000
Pt1 0.500 0.500 0.500
Se1 0.000 0.000 0.500
Br1 0.000 0.500 0.000
```

***

Record 3
A geometry-optimized TiCo3H structure. Source: the Alexandria database, functional PBE.

Electronic total energy = -6.69 eV per atom
Relative energy among the computed polymorphs = 100 meV per atom

```
data_TiCo3H
_chemical_formula_sum 'Ti4 Co12 H4'
_cell_length_a 3.542
_cell_length_b 3.651
_cell_length_c 15.115
_cell_angle_alpha 90.00
_cell_angle_beta 90.00
_cell_angle_gamma 90.00
_space_group_name_H-M_alt 'I m m a'
_space_group_IT_number 74
_space_group_name_Hall '-I 2b 2'
loop_
_atom_site_label
_atom_site_fract_x
_atom_site_fract_y
_atom_site_fract_z
Ti1 0.000 0.250 0.071
Co1 0.000 0.250 0.309
Co2 0.000 0.250 0.565
Co3 0.000 0.250 0.809
H1 0.000 0.250 0.684
```

***

Record 4
A geometry-optimized Lu2PuZn structure. Source: the Alexandria database, functional PBE.

Electronic total energy = -6.16 eV per atom
Relative energy among the computed polymorphs = 88 meV per atom
DFT formation energy = -1.8 meV per atom

```
data_Lu2PuZn
_chemical_formula_sum 'Lu6 Pu3 Zn3'
_cell_length_a 3.4220
_cell_length_b 3.4220
_cell_length_c 30.4222
_cell_angle_alpha 90.00
_cell_angle_beta 90.00
_cell_angle_gamma 120.00
_space_group_name_H-M_alt 'R -3 m'
_space_group_IT_number 166
_space_group_name_Hall '-R 3 2"'
loop_
_atom_site_label
_atom_site_fract_x
_atom_site_fract_y
_atom_site_fract_z
Lu1 0.0000 0.0000 0.2405
Pu1 0.0000 0.0000 0.0000
Zn1 0.0000 0.0000 0.5000
```

***

Record 5
A geometry-optimized NaAg2TeH structure. Source: the Alexandria database, functional PBE.

Electronic total energy = -2.81 eV per atom

```
data_NaAg2TeH
_chemical_formula_sum 'Na1 Ag2 Te1 H1'
_cell_length_a 4.315
_cell_length_b 4.315
_cell_length_c 4.880
_cell_angle_alpha 90.00
_cell_angle_beta 90.00
_cell_angle_gamma 90.00
_space_group_name_H-M_alt 'P 4/m m m'
_space_group_IT_number 123
_space_group_name_Hall '-P 4 2'
loop_
_atom_site_label
_atom_site_fract_x
_atom_site_fract_y
_atom_site_fract_z
Na1 0.000 0.000 0.000
Ag1 0.000 0.500 0.500
Te1 0.500 0.500 0.000
H1 0.000 0.000 0.500
```

***

Record 6
A geometry-optimized KAg2Ir structure. Source: the Alexandria database, functional PBE.

Electronic total energy = -3.15 eV per atom
Relative energy among the computed polymorphs = 293 meV per atom
DFT formation energy = 765.3 meV per atom

```
data_KAg2Ir
_chemical_formula_sum 'K4 Ag8 Ir4'
_cell_length_a 6.875
_cell_length_b 6.875
_cell_length_c 6.875
_cell_angle_alpha 90.00
_cell_angle_beta 90.00
_cell_angle_gamma 90.00
_space_group_name_H-M_alt 'F m -3 m'
_space_group_IT_number 225
_space_group_name_Hall '-F 4 2 3'
loop_
_atom_site_label
_atom_site_fract_x
_atom_site_fract_y
_atom_site_fract_z
K1 0.000 0.000 0.000
Ag1 0.250 0.250 0.250
Ir1 0.000 0.000 0.500
```

***

Record 7
A geometry-optimized ScBe12 structure. Source: the Alexandria database, functional PBE.

Electronic total energy = -4.05 eV per atom
DFT formation energy = -126.6 meV per atom

```
data_ScBe12
_chemical_formula_sum 'Sc2 Be24'
_cell_length_a 7.463
_cell_length_b 7.463
_cell_length_c 4.212
_cell_angle_alpha 90.00
_cell_angle_beta 90.00
_cell_angle_gamma 90.00
_space_group_name_H-M_alt 'I 4/m m m'
_space_group_IT_number 139
_space_group_name_Hall '-I 4 2'
loop_
_atom_site_label
_atom_site_fract_x
_atom_site_fract_y
_atom_site_fract_z
Sc1 0.000 0.000 0.000
Be1 0.000 0.224 0.500
Be2 0.000 0.354 0.000
Be3 0.250 0.250 0.250
```

***

Record 8
A geometry-optimized Hf2ReHRh structure. Source: the Alexandria database, functional PBE.

Electronic total energy = -9.08 eV per atom
Relative energy among the computed polymorphs = 40 meV per atom

```
data_Hf2ReHRh
_chemical_formula_sum 'Hf2 Re1 H1 Rh1'
_cell_length_a 4.541
_cell_length_b 4.541
_cell_length_c 3.547
_cell_angle_alpha 90.00
_cell_angle_beta 90.00
_cell_angle_gamma 90.00
_space_group_name_H-M_alt 'P 4/m m m'
_space_group_IT_number 123
_space_group_name_Hall '-P 4 2'
loop_
_atom_site_label
_atom_site_fract_x
_atom_site_fract_y
_atom_site_fract_z
Hf1 0.000 0.500 0.000
Re1 0.000 0.000 0.500
H1 0.000 0.000 0.000
Rh1 0.500 0.500 0.500
```

***

Record 9
A geometry-optimized ReHg structure. Source: the Alexandria database, functional PBE.

Electronic total energy = -5.48 eV per atom
Relative energy among the computed polymorphs = 508 meV per atom
DFT formation energy = 899.9 meV per atom

```
data_ReHg
_chemical_formula_sum 'Re2 Hg2'
_cell_length_a 4.530
_cell_length_b 2.942
_cell_length_c 5.433
_cell_angle_alpha 90.00
_cell_angle_beta 90.00
_cell_angle_gamma 90.00
_space_group_name_H-M_alt 'P m m a'
_space_group_IT_number 51
_space_group_name_Hall '-P 2a 2a'
loop_
_atom_site_label
_atom_site_fract_x
_atom_site_fract_y
_atom_site_fract_z
Re1 0.250 0.000 0.110
Hg1 0.250 0.500 0.648
```

***

Record 10
A geometry-optimized MoIr2Ru2 structure. Source: the Alexandria database, functional PBE.

Electronic total energy = -9.19 eV per atom
Relative energy among the computed polymorphs = 313 meV per atom
DFT formation energy = 230.0 meV per atom

```
data_MoIr2Ru2
_chemical_formula_sum 'Mo2 Ir4 Ru4'
_cell_length_a 4.042
_cell_length_b 5.805
_cell_length_c 6.547
_cell_angle_alpha 90.00
_cell_angle_beta 90.00
_cell_angle_gamma 90.00
_space_group_name_H-M_alt 'I m m m'
_space_group_IT_number 71
_space_group_name_Hall '-I 2 2'
loop_
_atom_site_label
_atom_site_fract_x
_atom_site_fract_y
_atom_site_fract_z
Mo1 0.000 0.000 0.000
Ir1 0.000 0.500 0.194
Ru1 0.000 0.210 0.500
```

***

Record 11
A geometry-optimized TaReNi structure. Source: the Alexandria database, functional PBE.

Electronic total energy = -10.01 eV per atom
Relative energy among the computed polymorphs = 54 meV per atom
DFT formation energy = 20.1 meV per atom

```
data_TaReNi
_chemical_formula_sum 'Ta1 Re1 Ni1'
_cell_length_a 4.4296
_cell_length_b 4.4296
_cell_length_c 2.6287
_cell_angle_alpha 90.00
_cell_angle_beta 90.00
_cell_angle_gamma 120.00
_space_group_name_H-M_alt 'P 3 m 1'
_space_group_IT_number 156
_space_group_name_Hall 'P 3 -2"'
loop_
_atom_site_label
_atom_site_fract_x
_atom_site_fract_y
_atom_site_fract_z
Ta1 0.0000 0.0000 0.0000
Re1 0.3333 0.6667 0.6275
Ni1 0.6667 0.3333 0.1937
```

***

Record 12
A geometry-optimized YAs2W structure. Source: the Alexandria database, functional PBE.

Electronic total energy = -7.60 eV per atom
Relative energy among the computed polymorphs = 15 meV per atom
DFT formation energy = -423.4 meV per atom

```
data_YAs2W
_chemical_formula_sum 'Y3 As6 W3'
_cell_length_a 3.9545
_cell_length_b 3.9545
_cell_length_c 18.1025
_cell_angle_alpha 90.00
_cell_angle_beta 90.00
_cell_angle_gamma 120.00
_space_group_name_H-M_alt 'R -3 m'
_space_group_IT_number 166
_space_group_name_Hall '-R 3 2"'
loop_
_atom_site_label
_atom_site_fract_x
_atom_site_fract_y
_atom_site_fract_z
Y1 0.0000 0.0000 0.0000
As1 0.0000 0.0000 0.2378
W1 0.0000 0.0000 0.5000
```